A geometry-optimized InNi3 structure, computed with PBE.

a b c (Å): 4.5477 4.5477 4.3741
angles (deg): 75.51 75.51 37.34
Closest atoms and distances in Å follow each position.
Element x y z (fractional)
1 In 0.0000 0.0000 0.0000  10 Ni 2.63-2.68, 2 In 2.91
2 Ni 0.5000 0.5000 0.5000  6 Ni 2.53-2.65, 4 In 2.63
3 Ni 0.7567 0.7567 0.7261  7 Ni 2.48-2.78, 3 In 2.65-2.68
4 Ni 0.2433 0.2433 0.2739  7 Ni 2.48-2.78, 3 In 2.65-2.68

Crystal system: monoclinic
ΔH_f (0 K) (eV per atom): 0.029


A geometry-optimized In4Ni structure, computed with PBE.

a b c (Å): 5.0242 5.0242 5.0242
angles (deg): 90.00 90.00 90.00
Closest atoms and distances in Å follow each position.
Element x y z (fractional)
1 Ni 0.5000 0.5000 0.5000  6 In 2.51
2 In 0.0000 0.0000 0.0000  12 In 3.55
3 In 0.5000 0.0000 0.5000  2 Ni 2.51
4 In 0.0000 0.5000 0.5000  2 Ni 2.51
5 In 0.5000 0.5000 0.0000  2 Ni 2.51

Crystal system: cubic
Excess energy over the best structure of this formula in the dataset (meV/atom): 0
ΔH_f (0 K) (eV per atom): 0.005